[1]
An optimized crystal structure of Cs4InF5. Source: the Alexandria database, functional PBE.

Computed properties:
Uncorrected formation energy in eV per atom: -2.4473

a = 7.3142 Å, b = 7.3142 Å, c = 7.3142 Å
α = 100.26°, β = 100.26°, γ = 130.07°
With the nearest neighbours (Å) after each atom.
Atoms (fractional coordinates):
Cs1 0.1005 0.7042 0.8047  6 F 2.97-3.13
Cs2 0.2958 0.1005 0.3964  6 F 2.97-3.13
Cs3 0.7042 0.8995 0.6036  6 F 2.97-3.13
Cs4 0.8995 0.2958 0.1953  6 F 2.97-3.13
In1 0.5199 0.5199 0.0000  1 F 2.22
F1 0.1611 0.1611 0.0000  1 In 2.22
F2 0.2056 0.4014 0.6192  1 In 2.84, 5 Cs 2.97-3.13
F3 0.4014 0.7822 0.1958  1 In 2.84, 5 Cs 2.97-3.13
F4 0.5864 0.2056 0.8042  1 In 2.84, 5 Cs 2.97-3.13
F5 0.7822 0.5864 0.3808  1 In 2.84, 5 Cs 2.97-3.13

[2]
An optimized crystal structure of CsInF3. Source: the Alexandria database, functional PBE.

Computed properties:
Uncorrected formation energy in eV per atom: -2.4091

a = 4.6717 Å, b = 4.6717 Å, c = 4.6717 Å
α = 90.00°, β = 90.00°, γ = 90.00°
With the nearest neighbours (Å) after each atom.
Atoms (fractional coordinates):
Cs1 0.0000 0.0000 0.0000  12 F 3.30
In1 0.5000 0.5000 0.5000  6 F 2.34
F1 0.0000 0.5000 0.5000  2 In 2.34
F2 0.5000 0.0000 0.5000  2 In 2.34
F3 0.5000 0.5000 0.0000  2 In 2.34

[3]
An optimized crystal structure of Cs3InF4. Source: the Alexandria database, functional PBE.

Computed properties:
Uncorrected formation energy in eV per atom: -2.4216

a = 11.5877 Å, b = 6.1345 Å, c = 6.1413 Å
α = 90.00°, β = 90.00°, γ = 90.00°
With the nearest neighbours (Å) after each atom.
Atoms (fractional coordinates):
Cs1 0.0000 0.2366 0.0000  6 F 2.99-3.20
Cs2 0.2499 0.2534 0.5115  6 F 3.03-3.11
Cs3 0.2501 0.7466 0.0115  6 F 3.03-3.11
Cs4 0.5000 0.7634 0.5000  6 F 2.99-3.20
Cs5 0.7501 0.2534 0.5115  6 F 3.03-3.11
Cs6 0.7499 0.7466 0.0115  6 F 3.03-3.11
In1 0.0000 0.7381 0.4977  2 F 2.24
In2 0.5000 0.2619 0.9977  2 F 2.24
F1 0.0000 0.1036 0.5025  1 In 2.24
F2 0.0000 0.7405 0.8632  1 In 2.24
F3 0.2421 0.7576 0.5181  1 In 2.81, 5 Cs 2.99-3.11
F4 0.2579 0.2424 0.0181  1 In 2.81, 5 Cs 2.99-3.11
F5 0.5000 0.2595 0.3632  1 In 2.24
F6 0.5000 0.8964 0.0025  1 In 2.24
F7 0.7421 0.2424 0.0181  1 In 2.81, 5 Cs 2.99-3.11
F8 0.7579 0.7576 0.5181  1 In 2.81, 5 Cs 2.99-3.11

[4]
An optimized crystal structure of CsIn3F. Source: the Alexandria database, functional PBE.

Computed properties:
Uncorrected formation energy in eV per atom: -0.4411

a = 5.5047 Å, b = 5.5047 Å, c = 5.5047 Å
α = 90.00°, β = 90.00°, γ = 90.00°
With the nearest neighbours (Å) after each atom.
Atoms (fractional coordinates):
Cs1 0.0000 0.0000 0.0000  12 In 3.89
In1 0.0000 0.5000 0.5000  2 F 2.75
In2 0.5000 0.0000 0.5000  2 F 2.75
In3 0.5000 0.5000 0.0000  2 F 2.75
F1 0.5000 0.5000 0.5000  6 In 2.75